#P
Entry from Alexandria: a relaxed structure of CuAuF2 (GGA-PBEsol).

Results
N(E_F) ... 6.6 states/eV/f.u.

a b c (Å): 4.071 4.071 4.071
angles (deg): 60.00 60.00 60.00
Each line ends with the local moment (μB).
Positions (direct):
1 Au 0.500 0.500 0.500  0.04
2 Cu 0.000 0.000 0.000  0.12
3 F 0.250 0.250 0.250  0.01
4 F 0.750 0.750 0.750  0.01

***

#Q
Entry from Alexandria: a relaxed structure of CuAuF2 (GGA-PBEsol).

Results
N(E_F) ... 6.3 states/eV/f.u.

a b c (Å): 2.842 2.842 8.222
angles (deg): 80.05 80.05 60.00
Each line ends with the local moment (μB).
Positions (direct):
1 Au 0.000 0.000 0.000  0.04
2 Cu 0.500 0.500 0.500  0.63
3 F 0.882 0.882 0.355  0.11
4 F 0.118 0.118 0.645  0.11

***

Most stable one: #Q, least stable one: #P.

***

#P
Entry from Alexandria: a relaxed structure of CuHg2Au (GGA-PBEsol).

Results
N(E_F) ... 1.1 states/eV/f.u.

a b c (Å): 3.925 4.238 4.223
angles (deg): 90.00 90.00 90.00
Positions (direct):
1 Au 0.500 0.500 0.000
2 Cu 0.500 0.000 0.500
3 Hg 0.000 0.000 0.000
4 Hg 0.000 0.500 0.500

***

#Q
Entry from Alexandria: a relaxed structure of CuHg2Au (GGA-PBEsol).

Results
N(E_F) ... 1.1 states/eV/f.u.

a b c (Å): 4.640 4.640 4.640
angles (deg): 60.00 60.00 60.00
Positions (direct):
1 Au 0.500 0.500 0.500
2 Cu 0.750 0.750 0.750
3 Hg 0.000 0.000 0.000
4 Hg 0.250 0.250 0.250

***

Most stable one: #P, least stable one: #Q.

***

#P
Entry from Alexandria: a relaxed structure of CuIrAu2 (GGA-PBEsol).

Results
N(E_F) ... 3.3 states/eV/f.u.

a b c (Å): 2.735 4.773 4.876
angles (deg): 99.97 90.00 106.65
Positions (direct):
1 Au 0.748 0.497 0.747
2 Au 0.252 0.503 0.253
3 Cu 0.000 0.000 0.500
4 Ir 0.500 0.000 0.000

***

#Q
Entry from Alexandria: a relaxed structure of CuIrAu2 (GGA-PBEsol).

Results
N(E_F) ... 2.8 states/eV/f.u.

a b c (Å): 2.727 2.727 9.357
angles (deg): 90.00 90.00 119.31
Positions (direct):
1 Au 0.000 0.000 0.005
2 Au 0.500 0.500 0.732
3 Cu 0.000 0.000 0.494
4 Ir 0.500 0.500 0.269

***

Most stable one: #Q, least stable one: #P.

***

#P
Entry from Alexandria: a relaxed structure of KCu2Au (GGA-PBEsol).

Results
N(E_F) ... 1.2 states/eV/f.u.

a b c (Å): 2.728 4.977 5.228
angles (deg): 90.00 90.00 90.00
Positions (direct):
1 Au 0.000 0.500 0.500
2 Cu 0.000 0.000 0.000
3 Cu 0.500 0.000 0.500
4 K 0.500 0.500 0.000

***

#Q
Entry from Alexandria: a relaxed structure of KCu2Au (GGA-PBEsol).

Results
N(E_F) ... 1.2 states/eV/f.u.

a b c (Å): 2.756 3.953 7.001
angles (deg): 90.00 90.00 90.00
Positions (direct):
1 Au 0.500 0.500 0.500
2 Cu 0.000 0.000 0.670
3 Cu 0.000 0.000 0.330
4 K 0.500 0.500 0.000

***

Most stable one: #Q, least stable one: #P.